[1]
DFT (PBE-GGA) results for a relaxed structure of CePrNd3.

Energy of formation (eV/atom): 0.124
Size of the total moment (μB per formula unit): 0.00
Uncorrected energy (eV per atom): -4.88
V (Å³/f.u.): 170.4
Density of states at the Fermi level (states/eV/cell): 35.80

Lattice parameters (Å, degrees): 6.155 12.821 12.821 46.67 69.75 69.75
Element x y z (fractional)
Ce  0.673  0.520  0.020
Ce  0.827  0.980  0.480
Ce  0.327  0.480  0.980
Ce  0.173  0.020  0.520
Pr  0.250  0.079  0.921
Pr  0.750  0.921  0.079
Pr  0.250  0.421  0.579
Pr  0.750  0.579  0.421
Nd  0.355  0.669  0.169
Nd  0.145  0.831  0.331
Nd  0.645  0.331  0.831
Nd  0.855  0.169  0.669
Nd  0.008  0.230  0.098
Nd  0.492  0.902  0.770
Nd  0.992  0.770  0.902
Nd  0.508  0.098  0.230
Nd  0.508  0.730  0.598
Nd  0.992  0.402  0.270
Nd  0.492  0.270  0.402
Nd  0.008  0.598  0.730

---

[2]
DFT (PBE-GGA) results for a relaxed structure of CePr4Nd8.

Energy of formation (eV/atom): 0.395
Size of the total moment (μB per formula unit): 0.93
Uncorrected energy (eV per atom): -4.47
V (Å³/f.u.): 482.7
Density of states at the Fermi level (states/eV/cell): 28.21

Lattice parameters (Å, degrees): 11.963 11.963 7.929 90.00 138.97 120.00
Site moments in Bohr magnetons follow the coordinates.
Element x y z (fractional)
Ce  0.000  0.500  0.500  0.60
Pr  0.000  0.000  0.000  0.03
Pr  0.000  0.500  0.000  0.01
Pr  0.500  0.500  0.000  0.01
Pr  0.500  0.000  0.000  0.01
Nd  0.506  0.753  0.260  0.05
Nd  0.494  0.247  0.740  0.05
Nd  0.333  0.166  0.002  0.00
Nd  0.164  0.330  0.998  0.00
Nd  0.667  0.834  0.998  0.00
Nd  0.164  0.834  0.998  0.00
Nd  0.836  0.166  0.002  0.00
Nd  0.836  0.670  0.002  0.00

---

[3]
DFT (PBE-GGA) results for a relaxed structure of CePr3Nd6.

Energy of formation (eV/atom): 0.233
Size of the total moment (μB per formula unit): 0.76
Uncorrected energy (eV per atom): -4.66
V (Å³/f.u.): 351.4
Density of states at the Fermi level (states/eV/cell): 22.05

Lattice parameters (Å, degrees): 10.126 10.126 7.060 44.18 44.18 60.00
Site moments in Bohr magnetons follow the coordinates.
Element x y z (fractional)
Ce  0.900  0.900  0.301  0.42
Pr  0.399  0.399  0.802  -0.01
Pr  0.657  0.657  0.028  0.03
Pr  0.142  0.142  0.574  0.03
Nd  0.900  0.581  0.300  0.01
Nd  0.219  0.900  0.300  0.01
Nd  0.581  0.219  0.300  0.01
Nd  0.076  0.400  0.799  0.01
Nd  0.725  0.076  0.799  0.01
Nd  0.400  0.725  0.799  0.01